DFT (GGA-PBE) results for an optimized crystal structure of TbInGa.

Cell and atoms, written as POSCAR:
```
TbInGa
1.0
-1.274 -3.018 -7.254
-1.112 -4.981 6.108
-3.998 5.507 0.857
Tb Ga In
4 4 4
direct
0.625 0.375 0.250
0.125 0.375 0.750
0.625 0.375 0.750
0.625 0.875 0.250
0.073 0.927 0.500
0.823 0.177 0.000
0.427 0.573 0.500
0.177 0.823 0.000
0.117 0.617 0.234
0.133 0.133 0.266
0.867 0.867 0.734
0.383 0.883 0.766
```

DOS at the Fermi energy = 8.2 states/eV/cell
V = 77.0 Å³/f.u.
ΔH_f (0 K) = -0.16 eV/atom
E_tot = -3.6254 eV per atom
crystal system = orthorhombic